No. 1
DFT (PBE) results for a relaxed Ho3Ga4Pd2 crystal.

The structure belongs to space group C2/m (No. 12); the cell edges are 10.5921, 4.4006 and 8.4648 Å and the angles 90.00°, 114.02° and 90.00°. The asymmetric unit holds Ho at (0.0000, 0.0000, 0.0000), Ho at (0.1792, 0.5000, 0.6440), Ga at (0.0206, 0.0000, 0.3595), Ga at (0.2428, 0.5000, 0.0818) and Pd at (0.0978, 0.5000, 0.2659).

The calculation puts the total moment at 0.00 μB/atom.

No. 2
DFT (PBE) results for a relaxed Ho2Ga2Pd3Pt crystal.

The structure belongs to space group P3m1 (No. 156); the cell edges are 4.3886, 4.3886 and 9.0416 Å and the angles 90.00°, 90.00° and 120.00°. The asymmetric unit holds Ho at (0.0000, 0.0000, 0.0000), Ho at (0.3333, 0.6667, 0.5041), Ga at (0.6667, 0.3333, 0.2541), Ga at (0.6667, 0.3333, 0.7566), Pd at (0.0000, 0.0000, 0.3353), Pd at (0.0000, 0.0000, 0.6674), Pd at (0.3333, 0.6667, 0.1728) and Pt at (0.3333, 0.6667, 0.8358).

The calculation puts the total moment at 0.00 μB/atom.

No. 3
DFT (PBE) results for a relaxed HoGaPdPt crystal.

The structure belongs to space group P6_3mc (No. 186); the cell edges are 4.3817, 4.3817 and 9.0510 Å and the angles 90.00°, 90.00° and 120.00°. The asymmetric unit holds Ho at (0.3333, 0.6667, 0.0000), Ga at (0.0000, 0.0000, 0.2573), Pd at (0.3333, 0.6667, 0.6674) and Pt at (0.3333, 0.6667, 0.3353).

The calculation puts the total moment at 0.00 μB/atom.

No. 4
DFT (PBE) results for a relaxed Ho2Ga4PdPt crystal.

The structure belongs to space group Amm2 (No. 38); the cell edges are 6.6721, 4.3802 and 10.1364 Å and the angles 90.00°, 90.00° and 90.00°. The asymmetric unit holds Ho at (0.0000, 0.0000, 0.0000), Ho at (0.5000, 0.0000, 0.1721), Ga at (0.1985, 0.0000, 0.7152), Ga at (0.3037, 0.0000, 0.4583), Pd at (0.5000, 0.0000, 0.8833) and Pt at (0.0000, 0.0000, 0.2893).

The calculation puts the total moment at 0.00 μB/atom.

No. 5
DFT (PBE) results for a relaxed HoGaPdPt crystal.

The structure belongs to space group P-6m2 (No. 187); the cell edges are 4.3855, 4.3855 and 9.0514 Å and the angles 90.00°, 90.00° and 120.00°. The asymmetric unit holds Ho at (0.0000, 0.0000, 0.0000), Ho at (0.3333, 0.6667, 0.5000), Ga at (0.6667, 0.3333, 0.2467), Pd at (0.0000, 0.0000, 0.3362) and Pt at (0.3333, 0.6667, 0.1698).

The calculation puts the total moment at 0.00 μB/atom.

No. 6
DFT (PBE) results for a relaxed HoGaPdPt crystal.

The structure belongs to space group P-3m1 (No. 164); the cell edges are 4.3828, 4.3828 and 9.0863 Å and the angles 90.00°, 90.00° and 120.00°. The asymmetric unit holds Ho at (0.3333, 0.6667, 0.2540), Ga at (0.0000, 0.0000, 0.0000), Ga at (0.0000, 0.0000, 0.5000), Pd at (0.3333, 0.6667, 0.9190) and Pt at (0.3333, 0.6667, 0.5876).

The calculation puts the total moment at 0.00 μB/atom.

No. 7
DFT (PBE) results for a relaxed Ho2Ga2PdPt3 crystal.

The structure belongs to space group P3m1 (No. 156); the cell edges are 4.3837, 4.3837 and 9.0597 Å and the angles 90.00°, 90.00° and 120.00°. The asymmetric unit holds Ho at (0.0000, 0.0000, 0.0000), Ho at (0.3333, 0.6667, 0.4968), Ga at (0.6667, 0.3333, 0.2500), Ga at (0.6667, 0.3333, 0.7536), Pd at (0.0000, 0.0000, 0.6648), Pt at (0.0000, 0.0000, 0.3368), Pt at (0.3333, 0.6667, 0.1639) and Pt at (0.3333, 0.6667, 0.8304).

The calculation puts the total moment at 0.00 μB/atom.

No. 8
DFT (PBE) results for a relaxed HoTmGa2Pd4 crystal.

The structure belongs to space group P-6m2 (No. 187); the cell edges are 4.3861, 4.3861 and 8.9638 Å and the angles 90.00°, 90.00° and 120.00°. The asymmetric unit holds Ho at (0.0000, 0.0000, 0.0000), Tm at (0.6667, 0.3333, 0.5000), Ga at (0.3333, 0.6667, 0.2503), Pd at (0.0000, 0.0000, 0.3326) and Pd at (0.6667, 0.3333, 0.1688).

The calculation puts the total moment at 0.00 μB/atom.

No. 9
DFT (PBE) results for a relaxed YHoGa2Pd4 crystal.

The structure belongs to space group P-6m2 (No. 187); the cell edges are 4.3994, 4.3994 and 9.0588 Å and the angles 90.00°, 90.00° and 120.00°. The asymmetric unit holds Y at (0.0000, 0.0000, 0.0000), Ho at (0.6667, 0.3333, 0.5000), Ga at (0.3333, 0.6667, 0.2504), Pd at (0.0000, 0.0000, 0.3328) and Pd at (0.6667, 0.3333, 0.1712).

The calculation puts the total moment at 0.00 μB/atom.

No. 10
DFT (PBE) results for a relaxed YHoGa2Pd4 crystal.

The structure belongs to space group P4/mmm (No. 123); the cell edges are 4.6810, 4.6810 and 6.6303 Å and the angles 90.00°, 90.00° and 90.00°. The asymmetric unit holds Y at (0.0000, 0.0000, 0.0000), Ho at (0.5000, 0.5000, 0.5000), Ga at (0.0000, 0.0000, 0.5000), Ga at (0.5000, 0.5000, 0.0000) and Pd at (0.0000, 0.5000, 0.2524).

The calculation puts the total moment at 0.00 μB/atom.

No. 11
DFT (PBE) results for a relaxed HoZnGa2Pd4 crystal.

The structure belongs to space group P4/mmm (No. 123); the cell edges are 4.5068, 4.5068 and 6.4559 Å and the angles 90.00°, 90.00° and 90.00°. The asymmetric unit holds Ho at (0.0000, 0.0000, 0.0000), Zn at (0.5000, 0.5000, 0.5000), Ga at (0.0000, 0.0000, 0.5000), Ga at (0.5000, 0.5000, 0.0000) and Pd at (0.0000, 0.5000, 0.2730).

The calculation puts the total moment at 0.00 μB/atom.

No. 12
DFT (PBE) results for a relaxed PmHoGa4 crystal.

The structure belongs to space group P6/mmm (No. 191); the cell edges are 4.2300, 4.2300 and 8.3161 Å and the angles 90.00°, 90.00° and 120.00°. The asymmetric unit holds Pm at (0.0000, 0.0000, 0.0000), Ho at (0.0000, 0.0000, 0.5000) and Ga at (0.3333, 0.6667, 0.2569).

The calculation puts the total moment at 0.00 μB/atom.

Number 1: raw total energy -4.8421 eV per atom. Number 2: raw total energy -5.5536 eV per atom. Number 3: raw total energy -5.7159 eV per atom. Number 4: raw total energy -4.9277 eV per atom. Number 5: raw total energy -5.7081 eV per atom. Number 6: raw total energy -5.7057 eV per atom. Number 7: raw total energy -5.8596 eV per atom. Number 8: raw total energy -5.3813 eV per atom. Number 9: raw total energy -5.6218 eV per atom. Number 10: raw total energy -5.5390 eV per atom. Number 11: raw total energy -4.7589 eV per atom. Number 12: raw total energy -4.2322 eV per atom.